1.
# PBE-GGA Pm2MnPb, optimized geometry
data_Pm2MnPb
_chemical_formula_sum 'Pm2 Mn1 Pb1'
_symmetry_space_group_name_H-M 'P 4/m m m'
_symmetry_Int_Tables_number 123
_symmetry_space_group_name_Hall '-P 4 2'
_cell_length_a 3.5919
_cell_length_b 3.5919
_cell_length_c 8.4194
_cell_angle_alpha 90.00
_cell_angle_beta 90.00
_cell_angle_gamma 90.00
loop_
_atom_site_label
_atom_site_fract_x
_atom_site_fract_y
_atom_site_fract_z
_atom_site_occupancy
Pm1 0.0000 0.0000 0.2184 1
Mn1 0.5000 0.5000 0.0000 1
Pb1 0.5000 0.5000 0.5000 1
# E_form = -0.0820 eV/atom

=====

2.
# PBE-GGA TbY2TmBr4, optimized geometry
data_TbY2TmBr4
_chemical_formula_sum 'Tb4 Y8 Tm4 Br16'
_symmetry_space_group_name_H-M 'F m m 2'
_symmetry_Int_Tables_number 42
_symmetry_space_group_name_Hall 'F 2 -2'
_cell_length_a 7.0737
_cell_length_b 11.9011
_cell_length_c 10.1093
_cell_angle_alpha 90.00
_cell_angle_beta 90.00
_cell_angle_gamma 90.00
loop_
_atom_site_label
_atom_site_fract_x
_atom_site_fract_y
_atom_site_fract_z
_atom_site_occupancy
Tb1 0.0000 0.0000 0.0000 1
Y1 0.2500 0.2500 0.1022 1
Tm1 0.0000 0.0000 0.4967 1
Br1 0.0000 0.2480 0.8519 1
Br2 0.2480 0.0000 0.2507 1
# energy relative to the elements, uncorrected = -0.90 eV per atom

=====

3.
# PBE-GGA GdHoIr, optimized geometry
data_GdHoIr
_chemical_formula_sum 'Gd1 Ho1 Ir1'
_symmetry_space_group_name_H-M 'P 3 m 1'
_symmetry_Int_Tables_number 156
_cell_length_a 4.1160
_cell_length_b 4.1160
_cell_length_c 6.1146
_cell_angle_alpha 90.00
_cell_angle_beta 90.00
_cell_angle_gamma 120.00
loop_
_symmetry_equiv_pos_as_xyz
'x,y,z'
'-y,x-y,z'
'-x+y,-x,z'
'-y,-x,z'
'-x+y,y,z'
'x,x-y,z'
loop_
_atom_site_label
_atom_site_fract_x
_atom_site_fract_y
_atom_site_fract_z
_atom_site_occupancy
Gd1 0.0000 0.0000 0.0000 1
Ho1 0.6667 0.3333 0.5370 1
Ir1 0.3333 0.6667 0.7635 1
# E_form = -0.5561 eV/atom

=====

The calculation returns the following energy values, one per record and in order: -5.677; -4.489; -9.729 eV per atom.
The calculation returns the following ρ values, one per record and in order: 8.440; 6.441; 9.522 g/cm3.
The calculation returns the following DOS at the Fermi energy values, one per record and in order: 1.202; 0.318; 0.740 states/eV per atom.